## LaZr2O (PBE)

Data for an optimized crystal structure of LaZr2O.

## Properties
Total magnetic moment in μB/f.u.: 0.00
Formation energy from raw total energies in eV/atom: -0.953
Space group: R-3m, No. 166

```
data_LaZr2O
_cell_length_a 9.004
_cell_length_b 9.004
_cell_length_c 9.004
_cell_angle_alpha 21.51
_cell_angle_beta 21.51
_cell_angle_gamma 21.51
_symmetry_space_group_name_H-M 'P 1'
_symmetry_Int_Tables_number 1
loop_
_symmetry_equiv_pos_as_xyz
'x,y,z'
loop_
_atom_site_label
_atom_site_fract_x
_atom_site_fract_y
_atom_site_fract_z
La1 0.000 0.000 0.000
Zr1 0.121 0.121 0.121
Zr2 0.879 0.879 0.879
O1 0.500 0.500 0.500
```

## La3ZrO (PBE)

Data for an optimized crystal structure of La3ZrO.

## Properties
Total magnetic moment in μB/f.u.: 0.00
Formation energy from raw total energies in eV/atom: -1.061
ΔE to the lowest computed polymorph in eV/atom: 0.000
Space group: Pm-3m, No. 221

```
data_La3ZrO
_cell_length_a 5.090
_cell_length_b 5.090
_cell_length_c 5.090
_cell_angle_alpha 90.00
_cell_angle_beta 90.00
_cell_angle_gamma 90.00
_symmetry_space_group_name_H-M 'P 1'
_symmetry_Int_Tables_number 1
loop_
_symmetry_equiv_pos_as_xyz
'x,y,z'
loop_
_atom_site_label
_atom_site_fract_x
_atom_site_fract_y
_atom_site_fract_z
La1 0.000 0.000 0.500
La2 0.000 0.500 0.000
La3 0.500 0.000 0.000
Zr1 0.500 0.500 0.500
O1 0.000 0.000 0.000
```

## LaOs (PBE)

Data for an optimized crystal structure of LaOs.

## Properties
Formation energy in eV per atom: 0.248
Total magnetic moment in μB/f.u.: 0.00
Space group: Pmmn, No. 59

```
data_LaOs
_cell_length_a 3.007
_cell_length_b 3.795
_cell_length_c 8.693
_cell_angle_alpha 90.00
_cell_angle_beta 90.00
_cell_angle_gamma 90.00
_symmetry_space_group_name_H-M 'P 1'
_symmetry_Int_Tables_number 1
loop_
_symmetry_equiv_pos_as_xyz
'x,y,z'
loop_
_atom_site_label
_atom_site_fract_x
_atom_site_fract_y
_atom_site_fract_z
La1 0.250 0.250 0.200
La2 0.750 0.750 0.800
Os1 0.250 0.250 0.554
Os2 0.750 0.750 0.446
```

## LaOs (PBE)

Data for an optimized crystal structure of LaOs.

## Properties
Formation energy in eV per atom: -0.116
Total magnetic moment in μB/f.u.: 0.00
Space group: P6_3/mmc, No. 194

```
data_LaOs
_cell_length_a 4.956
_cell_length_b 4.956
_cell_length_c 4.930
_cell_angle_alpha 90.00
_cell_angle_beta 90.00
_cell_angle_gamma 120.00
_symmetry_space_group_name_H-M 'P 1'
_symmetry_Int_Tables_number 1
loop_
_symmetry_equiv_pos_as_xyz
'x,y,z'
loop_
_atom_site_label
_atom_site_fract_x
_atom_site_fract_y
_atom_site_fract_z
La1 0.333 0.667 0.250
La2 0.667 0.333 0.750
Os1 0.000 0.000 0.000
Os2 0.000 0.000 0.500
```

## LaOs3 (PBE)

Data for an optimized crystal structure of LaOs3.

## Properties
Formation energy in eV per atom: 1.186
Total magnetic moment in μB/f.u.: 0.00
Space group: Pm-3n, No. 223

```
data_LaOs3
_cell_length_a 5.299
_cell_length_b 5.299
_cell_length_c 5.299
_cell_angle_alpha 90.00
_cell_angle_beta 90.00
_cell_angle_gamma 90.00
_symmetry_space_group_name_H-M 'P 1'
_symmetry_Int_Tables_number 1
loop_
_symmetry_equiv_pos_as_xyz
'x,y,z'
loop_
_atom_site_label
_atom_site_fract_x
_atom_site_fract_y
_atom_site_fract_z
La1 0.000 0.000 0.000
La2 0.500 0.500 0.500
Os1 0.000 0.250 0.500
Os2 0.000 0.750 0.500
Os3 0.250 0.500 0.000
Os4 0.500 0.000 0.250
Os5 0.500 0.000 0.750
Os6 0.750 0.500 0.000
```

## LaOs (PBE)

Data for an optimized crystal structure of LaOs.

## Properties
Formation energy in eV per atom: 0.211
Total magnetic moment in μB/f.u.: 0.00
Space group: Fddd, No. 70

```
data_LaOs
_cell_length_a 8.568
_cell_length_b 7.825
_cell_length_c 5.316
_cell_angle_alpha 78.86
_cell_angle_beta 63.64
_cell_angle_gamma 37.50
_symmetry_space_group_name_H-M 'P 1'
_symmetry_Int_Tables_number 1
loop_
_symmetry_equiv_pos_as_xyz
'x,y,z'
loop_
_atom_site_label
_atom_site_fract_x
_atom_site_fract_y
_atom_site_fract_z
La1 0.047 0.703 0.047
La2 0.297 0.953 0.297
La3 0.703 0.047 0.703
La4 0.953 0.297 0.953
Os1 0.292 0.292 0.458
Os2 0.458 0.458 0.292
Os3 0.542 0.542 0.708
Os4 0.708 0.708 0.542
```

## LaOs (PBE)

Data for an optimized crystal structure of LaOs.

## Properties
Formation energy in eV per atom: -0.053
Total magnetic moment in μB/f.u.: 0.00
Space group: R-3m, No. 166

```
data_LaOs
_cell_length_a 7.792
_cell_length_b 7.792
_cell_length_c 7.792
_cell_angle_alpha 31.84
_cell_angle_beta 31.84
_cell_angle_gamma 31.84
_symmetry_space_group_name_H-M 'P 1'
_symmetry_Int_Tables_number 1
loop_
_symmetry_equiv_pos_as_xyz
'x,y,z'
loop_
_atom_site_label
_atom_site_fract_x
_atom_site_fract_y
_atom_site_fract_z
La1 0.090 0.090 0.090
La2 0.910 0.910 0.910
Os1 0.325 0.325 0.325
Os2 0.675 0.675 0.675
```

## La6Os7 (PBE)

Data for an optimized crystal structure of La6Os7.

## Properties
Formation energy in eV per atom: 0.027
Total magnetic moment in μB/f.u.: 0.00
Space group: R-3m, No. 166

```
data_La6Os7
_cell_length_a 11.101
_cell_length_b 11.101
_cell_length_c 11.101
_cell_angle_alpha 28.56
_cell_angle_beta 28.56
_cell_angle_gamma 28.56
_symmetry_space_group_name_H-M 'P 1'
_symmetry_Int_Tables_number 1
loop_
_symmetry_equiv_pos_as_xyz
'x,y,z'
loop_
_atom_site_label
_atom_site_fract_x
_atom_site_fract_y
_atom_site_fract_z
La1 0.053 0.053 0.053
La2 0.151 0.151 0.151
La3 0.337 0.337 0.337
La4 0.663 0.663 0.663
La5 0.849 0.849 0.849
La6 0.947 0.947 0.947
Os1 0.088 0.599 0.599
Os2 0.401 0.401 0.912
Os3 0.401 0.912 0.401
Os4 0.500 0.500 0.500
Os5 0.599 0.088 0.599
Os6 0.599 0.599 0.088
Os7 0.912 0.401 0.401
```

## LaOs (PBE)

Data for an optimized crystal structure of LaOs.

## Properties
Formation energy in eV per atom: 0.725
Total magnetic moment in μB/f.u.: 0.00
Space group: I-43m, No. 217

```
data_LaOs
_cell_length_a 7.165
_cell_length_b 7.165
_cell_length_c 7.165
_cell_angle_alpha 109.47
_cell_angle_beta 109.47
_cell_angle_gamma 109.47
_symmetry_space_group_name_H-M 'P 1'
_symmetry_Int_Tables_number 1
loop_
_symmetry_equiv_pos_as_xyz
'x,y,z'
loop_
_atom_site_label
_atom_site_fract_x
_atom_site_fract_y
_atom_site_fract_z
La1 0.000 0.000 0.572
La2 0.000 0.572 0.000
La3 0.428 0.428 0.428
La4 0.572 0.000 0.000
Os1 0.000 0.000 0.234
Os2 0.000 0.234 0.000
Os3 0.234 0.000 0.000
Os4 0.766 0.766 0.766
```

## LaOs3 (PBE)

Data for an optimized crystal structure of LaOs3.

## Properties
Formation energy in eV per atom: 0.639
Total magnetic moment in μB/f.u.: 0.00
Space group: P2/m, No. 10

```
data_LaOs3
_cell_length_a 2.888
_cell_length_b 4.488
_cell_length_c 5.860
_cell_angle_alpha 90.00
_cell_angle_beta 102.77
_cell_angle_gamma 90.00
_symmetry_space_group_name_H-M 'P 1'
_symmetry_Int_Tables_number 1
loop_
_symmetry_equiv_pos_as_xyz
'x,y,z'
loop_
_atom_site_label
_atom_site_fract_x
_atom_site_fract_y
_atom_site_fract_z
La1 0.000 0.000 0.000
Os1 0.315 0.500 0.692
Os2 0.500 0.000 0.500
Os3 0.685 0.500 0.308
```

## LaOs (PBE)

Data for an optimized crystal structure of LaOs.

## Properties
Formation energy in eV per atom: 0.538
Total magnetic moment in μB/f.u.: 1.17
Space group: P4_2/mnm, No. 136

```
data_LaOs
_cell_length_a 6.103
_cell_length_b 6.103
_cell_length_c 5.776
_cell_angle_alpha 90.00
_cell_angle_beta 90.00
_cell_angle_gamma 90.00
_symmetry_space_group_name_H-M 'P 1'
_symmetry_Int_Tables_number 1
loop_
_symmetry_equiv_pos_as_xyz
'x,y,z'
loop_
_atom_site_label
_atom_site_fract_x
_atom_site_fract_y
_atom_site_fract_z
La1 0.199 0.199 0.000
La2 0.301 0.699 0.500
La3 0.699 0.301 0.500
La4 0.801 0.801 0.000
Os1 0.145 0.145 0.500
Os2 0.355 0.645 0.000
Os3 0.645 0.355 0.000
Os4 0.855 0.855 0.500
```

## LaOs (PBE)

Data for an optimized crystal structure of LaOs.

## Properties
Formation energy in eV per atom: 0.240
Total magnetic moment in μB/f.u.: 0.00
Space group: Cm, No. 8

```
data_LaOs
_cell_length_a 6.287
_cell_length_b 6.287
_cell_length_c 7.418
_cell_angle_alpha 108.86
_cell_angle_beta 108.86
_cell_angle_gamma 29.38
_symmetry_space_group_name_H-M 'P 1'
_symmetry_Int_Tables_number 1
loop_
_symmetry_equiv_pos_as_xyz
'x,y,z'
loop_
_atom_site_label
_atom_site_fract_x
_atom_site_fract_y
_atom_site_fract_z
La1 0.000 0.000 0.000
La2 0.003 0.003 0.442
La3 0.713 0.713 0.818
Os1 0.310 0.310 0.168
Os2 0.339 0.339 0.597
Os3 0.707 0.707 0.339
```